# 1
! CsCr3S PBE-GGA relaxed; values from VASP
! Density: 4.2 g cm⁻³
! Relative energy among the computed polymorphs: 0 meV/atom
! Raw formation energy: 0.939 eV per atom
! E: -5.83 eV/atom
&SYSTEM
  ibrav = 0, nat = 5, ntyp = 3
/
ATOMIC_SPECIES
Cs 132.91 Cs.upf
Cr 52.00 Cr.upf
S 32.06 S.upf
CELL_PARAMETERS angstrom
5.025 0.000 0.000
0.000 5.025 0.000
0.000 0.000 5.025
ATOMIC_POSITIONS crystal
Cs 0.000 0.000 0.000
Cr 0.000 0.500 0.500
Cr 0.500 0.000 0.500
Cr 0.500 0.500 0.000
S 0.500 0.500 0.500

# 2
! TlGeAu PBE-GGA relaxed; values from VASP
! Density: 11.1 g cm⁻³
! Energy relative to the elements: 0.24 eV/atom
! E: -3.18 eV/atom
&SYSTEM
  ibrav = 0, nat = 6, ntyp = 3
/
ATOMIC_SPECIES
Tl 204.38 Tl.upf
Ge 72.64 Ge.upf
Au 196.97 Au.upf
CELL_PARAMETERS angstrom
4.195 0.000 0.000
0.000 4.195 0.000
0.000 0.000 8.085
ATOMIC_POSITIONS crystal
Tl 0.250 0.750 0.000
Tl 0.750 0.250 0.000
Ge 0.250 0.250 0.364
Ge 0.750 0.750 0.636
Au 0.250 0.250 0.678
Au 0.750 0.750 0.322

# 3
! MnBeSe2 PBE-GGA relaxed; values from VASP
! Density: 4.1 g cm⁻³
! Raw formation energy: -0.354 eV per atom
! E: -5.32 eV/atom
&SYSTEM
  ibrav = 0, nat = 16, ntyp = 3
/
ATOMIC_SPECIES
Mn 54.94 Mn.upf
Be 9.01 Be.upf
Se 78.96 Se.upf
CELL_PARAMETERS angstrom
3.513 0.000 0.000
0.000 28.215 0.000
0.000 0.000 3.628
ATOMIC_POSITIONS crystal
Mn 0.000 0.146 0.250
Mn 0.000 0.854 0.750
Mn 0.500 0.354 0.750
Mn 0.500 0.646 0.250
Be 0.000 0.391 0.250
Be 0.000 0.609 0.750
Be 0.500 0.109 0.750
Be 0.500 0.891 0.250
Se 0.000 0.315 0.250
Se 0.000 0.430 0.750
Se 0.000 0.570 0.250
Se 0.000 0.685 0.750
Se 0.500 0.070 0.250
Se 0.500 0.185 0.750
Se 0.500 0.815 0.250
Se 0.500 0.930 0.750

# 4
! Na2MnTcH PBE-GGA relaxed; values from VASP
! Density: 4.9 g cm⁻³
! E: -4.16 eV/atom
&SYSTEM
  ibrav = 0, nat = 5, ntyp = 4
/
ATOMIC_SPECIES
Na 22.99 Na.upf
Mn 54.94 Mn.upf
Tc 98.00 Tc.upf
H 1.01 H.upf
CELL_PARAMETERS angstrom
3.684 0.000 0.000
0.000 3.684 0.000
0.000 0.000 4.945
ATOMIC_POSITIONS crystal
Na 0.000 0.500 0.000
Na 0.500 0.000 0.000
Mn 0.000 0.000 0.500
Tc 0.500 0.500 0.500
H 0.500 0.500 0.000

# 5
! ScMnFeNi PBE-GGA relaxed; values from VASP
! Density: 6.6 g cm⁻³
! Energy relative to the elements: -0.07 eV/atom
! E: -7.51 eV/atom
&SYSTEM
  ibrav = 0, nat = 16, ntyp = 4
/
ATOMIC_SPECIES
Sc 44.96 Sc.upf
Mn 54.94 Mn.upf
Fe 55.84 Fe.upf
Ni 58.69 Ni.upf
CELL_PARAMETERS angstrom
6.000 0.000 0.000
0.000 6.000 0.000
0.000 0.000 6.000
ATOMIC_POSITIONS crystal
Sc 0.000 0.000 0.000
Sc 0.000 0.500 0.500
Sc 0.500 0.000 0.500
Sc 0.500 0.500 0.000
Mn 0.000 0.000 0.500
Mn 0.000 0.500 0.000
Mn 0.500 0.000 0.000
Mn 0.500 0.500 0.500
Fe 0.250 0.250 0.250
Fe 0.250 0.750 0.750
Fe 0.750 0.250 0.750
Fe 0.750 0.750 0.250
Ni 0.250 0.250 0.750
Ni 0.250 0.750 0.250
Ni 0.750 0.250 0.250
Ni 0.750 0.750 0.750

# 6
! AcYTlBi PBE-GGA relaxed; values from VASP
! Density: 9.3 g cm⁻³
! Energy relative to the elements: -0.44 eV/atom
! E: -4.65 eV/atom
&SYSTEM
  ibrav = 0, nat = 16, ntyp = 4
/
ATOMIC_SPECIES
Ac 227.00 Ac.upf
Y 88.91 Y.upf
Tl 204.38 Tl.upf
Bi 208.98 Bi.upf
CELL_PARAMETERS angstrom
8.039 0.000 0.000
0.000 8.039 0.000
0.000 0.000 8.039
ATOMIC_POSITIONS crystal
Ac 0.000 0.000 0.000
Ac 0.000 0.500 0.500
Ac 0.500 0.000 0.500
Ac 0.500 0.500 0.000
Y 0.000 0.000 0.500
Y 0.000 0.500 0.000
Y 0.500 0.000 0.000
Y 0.500 0.500 0.500
Tl 0.250 0.250 0.250
Tl 0.250 0.750 0.750
Tl 0.750 0.250 0.750
Tl 0.750 0.750 0.250
Bi 0.250 0.250 0.750
Bi 0.250 0.750 0.250
Bi 0.750 0.250 0.250
Bi 0.750 0.750 0.750

# 7
! NaGdCuSn PBE-GGA relaxed; values from VASP
! Density: 6.4 g cm⁻³
! Energy relative to the elements: -0.19 eV/atom
! E: -6.06 eV/atom
&SYSTEM
  ibrav = 0, nat = 16, ntyp = 4
/
ATOMIC_SPECIES
Na 22.99 Na.upf
Gd 157.25 Gd.upf
Cu 63.55 Cu.upf
Sn 118.71 Sn.upf
CELL_PARAMETERS angstrom
7.233 0.000 0.000
0.000 7.233 0.000
0.000 0.000 7.233
ATOMIC_POSITIONS crystal
Na 0.000 0.000 0.000
Na 0.000 0.500 0.500
Na 0.500 0.000 0.500
Na 0.500 0.500 0.000
Gd 0.000 0.000 0.500
Gd 0.000 0.500 0.000
Gd 0.500 0.000 0.000
Gd 0.500 0.500 0.500
Cu 0.250 0.250 0.750
Cu 0.250 0.750 0.250
Cu 0.750 0.250 0.250
Cu 0.750 0.750 0.750
Sn 0.250 0.250 0.250
Sn 0.250 0.750 0.750
Sn 0.750 0.250 0.750
Sn 0.750 0.750 0.250

# 8
! CeMgCd2Hg4 PBE-GGA relaxed; values from VASP
! Density: 10.4 g cm⁻³
! Energy relative to the elements: -0.20 eV/atom
! E: -1.52 eV/atom
&SYSTEM
  ibrav = 0, nat = 8, ntyp = 4
/
ATOMIC_SPECIES
Ce 140.12 Ce.upf
Mg 24.30 Mg.upf
Cd 112.41 Cd.upf
Hg 200.59 Hg.upf
CELL_PARAMETERS angstrom
2.489 1.437 8.846
-2.489 1.437 8.846
0.000 -2.874 8.846
ATOMIC_POSITIONS crystal
Ce 0.000 0.000 0.000
Mg 0.500 0.500 0.500
Cd 0.251 0.251 0.251
Cd 0.749 0.749 0.749
Hg 0.129 0.129 0.129
Hg 0.384 0.384 0.384
Hg 0.616 0.616 0.616
Hg 0.871 0.871 0.871

# 9
! Pm4AgPb PBE-GGA relaxed; values from VASP
! Density: 7.3 g cm⁻³
! Energy relative to the elements: -0.07 eV/atom
! E: -4.33 eV/atom
&SYSTEM
  ibrav = 0, nat = 6, ntyp = 3
/
ATOMIC_SPECIES
Pm 145.00 Pm.upf
Ag 107.87 Ag.upf
Pb 207.20 Pb.upf
CELL_PARAMETERS angstrom
5.155 0.000 0.000
0.000 5.155 0.000
0.000 0.000 7.665
ATOMIC_POSITIONS crystal
Pm 0.000 0.500 0.236
Pm 0.000 0.500 0.764
Pm 0.500 0.000 0.236
Pm 0.500 0.000 0.764
Ag 0.000 0.000 0.000
Pb 0.500 0.500 0.500

# 10
! CoNiIr2 PBE-GGA relaxed; values from VASP
! Density: 15.5 g cm⁻³
! Relative energy among the computed polymorphs: 230 meV/atom
! Energy relative to the elements: 0.24 eV/atom
! E: -7.42 eV/atom
&SYSTEM
  ibrav = 0, nat = 8, ntyp = 3
/
ATOMIC_SPECIES
Co 58.93 Co.upf
Ni 58.69 Ni.upf
Ir 192.22 Ir.upf
CELL_PARAMETERS angstrom
5.296 0.000 0.000
0.000 8.749 0.000
-1.291 0.000 2.314
ATOMIC_POSITIONS crystal
Co 0.000 0.000 0.000
Co 0.500 0.500 0.000
Ni 0.000 0.500 0.000
Ni 0.500 0.000 0.000
Ir 0.250 0.250 0.500
Ir 0.250 0.750 0.500
Ir 0.750 0.250 0.500
Ir 0.750 0.750 0.500

# 11
! AsPb2S5 PBE-GGA relaxed; values from VASP
! Density: 5.0 g cm⁻³
! Raw formation energy: -0.180 eV per atom
! E: -4.27 eV/atom
&SYSTEM
  ibrav = 0, nat = 8, ntyp = 3
/
ATOMIC_SPECIES
As 74.92 As.upf
Pb 207.20 Pb.upf
S 32.06 S.upf
CELL_PARAMETERS angstrom
5.351 0.000 0.000
-0.630 5.679 0.000
-2.237 -2.742 7.138
ATOMIC_POSITIONS crystal
As 0.000 0.000 0.000
Pb 0.511 0.315 0.815
Pb 0.580 0.826 0.327
S 0.362 0.757 0.660
S 0.434 0.172 0.136
S 0.912 0.219 0.650
S 0.961 0.708 0.134
S 0.987 0.722 0.674

# 12
! Li2HgPt PBE-GGA relaxed; values from VASP
! Density: 10.5 g cm⁻³
! Energy relative to the elements: -0.36 eV/atom
! E: -2.91 eV/atom
&SYSTEM
  ibrav = 0, nat = 8, ntyp = 3
/
ATOMIC_SPECIES
Li 6.94 Li.upf
Hg 200.59 Hg.upf
Pt 195.08 Pt.upf
CELL_PARAMETERS angstrom
9.061 0.000 0.000
0.000 2.971 0.000
-1.046 0.000 4.820
ATOMIC_POSITIONS crystal
Li 0.241 0.000 0.223
Li 0.259 0.500 0.777
Li 0.741 0.500 0.223
Li 0.759 0.000 0.777
Hg 0.000 0.000 0.500
Hg 0.500 0.500 0.500
Pt 0.000 0.500 0.000
Pt 0.500 0.000 0.000